NdTmIn | OQMD | PBE | optimized geometry; uncorrected energy = -12.235 eV/f.u.; space-group type = F-43m; M_tot = 0.145 μB/f.u.; polymorph energy (0 for the lowest one) = 0 meV per atom
1.0
0.0000 3.6972 3.6972
3.6972 0.0000 3.6972
3.6972 3.6972 0.0000
Nd Tm In
1 1 1
direct
0.0000 0.0000 0.0000 Nd
0.5000 0.5000 0.5000 Tm
0.2500 0.2500 0.2500 In